Entry 1:
This record from Alexandria describes an optimized crystal structure of Dy4Hg3Pb. The functional is GGA-PBE.

Cell: 5.3132 7.4633 10.6290 Å, 90.00 90.00 90.00°
Last column: magnetic moment on the atom in μB.
Sites, in units of the cell vectors:
Pb 0.0000 0.5000 0.0000  -0.01
Pb 0.0000 0.5000 0.5000  -0.01
Hg 0.0000 0.0000 0.0000  0.01
Hg 0.0000 0.0000 0.5000  0.01
Hg 0.5004 0.0000 0.7500  0.00
Hg 0.4996 0.0000 0.2500  0.00
Hg 0.4999 0.5000 0.7500  0.01
Hg 0.5001 0.5000 0.2500  0.01
Dy 0.5000 0.7554 0.0000  0.11
Dy 0.5000 0.7554 0.5000  0.11
Dy 0.5000 0.2446 0.0000  0.11
Dy 0.5000 0.2446 0.5000  0.11
Dy 0.0003 0.7554 0.7500  0.11
Dy 0.9997 0.7554 0.2500  0.11
Dy 0.9997 0.2446 0.2500  0.11
Dy 0.0003 0.2446 0.7500  0.11

Results
**VASP energy**: -3.351 eV/atom
**Crystal system**: tetragonal

=====

Entry 2:
This record from Alexandria describes an optimized crystal structure of InOs2Pt. The functional is GGA-PBE.

Cell: 2.8536 2.8536 7.9134 Å, 90.00 90.00 90.00°
Sites, in units of the cell vectors:
In 0.5000 0.5000 0.7541
Os 0.0000 0.0000 0.0250
Os 0.5000 0.5000 0.2326
Pt 0.0000 0.0000 0.4884

Results
**Distance to the lowest polymorph of the same formula**: 0.00 kcal/mol of atoms
**Crystal system**: tetragonal

=====

Entry 3:
This record from Alexandria describes an optimized crystal structure of LiLaCuSi2. The functional is GGA-PBE.

Cell: 4.1920 4.1920 5.8834 Å, 110.87 110.87 90.00°
Sites, in units of the cell vectors:
Li 0.2500 0.7500 0.5000
La 0.0000 0.0000 0.0000
Cu 0.7500 0.2500 0.5000
Si 0.6175 0.6175 0.2349
Si 0.3825 0.3825 0.7651

Results
**VASP energy**: -4.910 eV/atom
**Crystal system**: tetragonal

=====

Computed density (Mg/m³) in order:
11.50 17.79 4.94